Ca3Cd11: optimized geometry, PBE.

Cell: 4.8315 10.1645 14.3788 Å, 90.00 90.00 90.00°
With the nearest neighbours (Å) after each atom.
Space group Immm (No. 71)
Inequivalent atoms, fractional coordinates:
Ca: 0.0000 0.0000 0.0000  12 Cd 3.50-3.65
Ca: 0.0000 0.0000 0.2957  14 Cd 3.38-3.72
Cd: 0.0000 0.1849 0.5000  8 Cd 2.95-3.12
Cd: 0.0000 0.2862 0.1360  6 Cd 2.87-3.12
Cd: 0.0000 0.3617 0.3371  5 Cd 2.81-2.99
Cd: 0.0000 0.5000 0.0000  8 Cd 2.92-3.06

Summary:
The calculation puts the calculated formation energy at -0.2427 eV per atom.

Ca2Cd: optimized geometry, PBE.

Cell: 7.4147 5.2372 10.1145 Å, 90.00 90.00 90.00°
With the nearest neighbours (Å) after each atom.
Space group Pnma (No. 62)
Inequivalent atoms, fractional coordinates:
Ca: 0.0349 0.2500 0.1944  5 Cd 3.35-3.70, 2 Ca 3.69
Ca: 0.1625 0.2500 0.5652  4 Cd 3.27-3.30
Cd: 0.2263 0.2500 0.8849  7 Ca 3.27-3.44

Summary:
The calculation puts the calculated formation energy at -0.2472 eV per atom.

Ca5Cd4: optimized geometry, PBE.

Cell: 10.1472 10.1472 5.1443 Å, 90.00 90.00 90.00°
With the nearest neighbours (Å) after each atom.
Space group I4/mmm (No. 139)
Inequivalent atoms, fractional coordinates:
Ca: 0.0000 0.0000 0.0000  4 Cd 3.48, 8 Ca 3.59
Ca: 0.1744 0.1744 0.5000  6 Cd 3.31-3.56, 6 Ca 3.36-3.59
Cd: 0.0000 0.3431 0.0000  5 Cd 3.18-3.42, 7 Ca 3.31-3.56

Summary:
The calculation puts the calculated formation energy at -0.1764 eV per atom. The value obtained for the distance to the lowest polymorph of the same formula is 0.091 eV per atom.

Ca3Cd8: optimized geometry, PBE.

Cell: 3.5984 4.9798 31.3472 Å, 90.00 90.00 90.00°
With the nearest neighbours (Å) after each atom.
Space group Immm (No. 71)
Inequivalent atoms, fractional coordinates:
Ca: 0.0000 0.0000 0.0000  12 Cd 3.40-3.42, 2 Ca 3.60
Ca: 0.0000 0.5000 0.1398  12 Cd 3.37-3.48, 2 Ca 3.60
Cd: 0.0000 0.0000 0.2653  8 Cd 2.95-3.22
Cd: 0.0000 0.0000 0.4536  3 Cd 2.88-2.91
Cd: 0.0000 0.5000 0.3156  5 Cd 2.88-3.11
Cd: 0.0000 0.5000 0.4074  3 Cd 2.88

Summary:
The calculation puts the calculated formation energy at -0.2838 eV per atom.

CaCd3: optimized geometry, PBE.

Cell: 6.6806 6.6806 5.1523 Å, 90.00 90.00 120.00°
With the nearest neighbours (Å) after each atom.
Space group P6_3/mmc (No. 194)
Inequivalent atoms, fractional coordinates:
Ca: 0.3333 0.6667 0.2500  12 Cd 3.26-3.34
Cd: 0.1600 0.3201 0.7500  8 Cd 3.17-3.47, 4 Ca 3.26-3.34

Summary:
The calculation puts the calculated formation energy at -0.2728 eV per atom.

Ca4Cd5: optimized geometry, PBE.

Cell: 10.1028 10.1028 5.0821 Å, 90.00 90.00 90.00°
With the nearest neighbours (Å) after each atom.
Space group I4/mmm (No. 139)
Inequivalent atoms, fractional coordinates:
Ca: 0.0000 0.3066 0.0000  5 Cd 3.10-3.36
Cd: 0.0000 0.0000 0.0000  4 Ca 3.10, 8 Cd 3.39
Cd: 0.1574 0.1574 0.5000  4 Cd 3.18-3.39, 6 Ca 3.36-3.48

Summary:
The calculation puts the calculated formation energy at -0.2277 eV per atom. The value obtained for the distance to the lowest polymorph of the same formula is 0.025 eV per atom.

Ca5Cd4: optimized geometry, PBE.

Cell: 11.6022 4.8626 10.9661 Å, 90.00 112.22 90.00°
With the nearest neighbours (Å) after each atom.
Space group C2/m (No. 12)
Inequivalent atoms, fractional coordinates:
Ca: 0.0000 0.0000 0.0000  4 Cd 3.18
Ca: 0.1018 0.0000 0.3921  7 Cd 3.25-3.53
Ca: 0.2502 0.0000 0.8257  6 Cd 3.32-3.47, 2 Ca 3.71
Cd: 0.0550 0.5000 0.8435  1 Cd 2.91, 2 Ca 3.18
Cd: 0.1197 0.5000 0.6114  2 Cd 2.91-2.92, 1 Ca 3.25

Summary:
The calculation puts the calculated formation energy at -0.2676 eV per atom. The value obtained for the distance to the lowest polymorph of the same formula is 0.000 eV per atom.

Ca2Cd: optimized geometry, PBE.

Cell: 9.4695 5.4587 3.8911 Å, 90.00 90.03 90.00°
With the nearest neighbours (Å) after each atom.
Space group C2/m (No. 12)
Inequivalent atoms, fractional coordinates:
Ca: 0.1666 0.0000 0.2252  3 Cd 3.33, 3 Ca 3.61
Cd: 0.0000 0.5000 0.5000  6 Ca 3.33

Summary:
The calculation puts the calculated formation energy at -0.1173 eV per atom.